## LiMg3 (meta-GGA SCAN)

Data for LiMg3 at its PBEsol-relaxed geometry. Values from VASP.

The calculation puts the volume at 21.05 Å³ per atom. The value obtained for the formation energy is -0.03 eV/atom. The space-group type is No. 123.

Cell and atoms, written as Quantum ESPRESSO input:
```
&SYSTEM
  ibrav = 0, nat = 4, ntyp = 2
/
ATOMIC_SPECIES
Mg 24.30 Mg.upf
Li 6.94 Li.upf
CELL_PARAMETERS angstrom
3.647 0.000 0.000
0.000 4.805 0.000
0.000 0.000 4.805
ATOMIC_POSITIONS angstrom
Mg 1.824 0.000 2.403
Mg 1.824 2.403 0.000
Mg 0.000 2.403 2.403
Li 0.000 0.000 0.000
```

## Mg2AsPb (meta-GGA SCAN)

Data for Mg2AsPb at its PBEsol-relaxed geometry. Values from VASP.

The calculation puts the volume at 24.20 Å³ per atom. The value obtained for the formation energy is -0.32 eV/atom. The space-group type is No. 166.

Cell and atoms, written as Quantum ESPRESSO input:
```
&SYSTEM
  ibrav = 0, nat = 4, ntyp = 3
/
ATOMIC_SPECIES
As 74.92 As.upf
Mg 24.30 Mg.upf
Pb 207.20 Pb.upf
CELL_PARAMETERS angstrom
-1.369 -0.013 3.757
-1.583 -3.334 1.540
5.328 -3.053 4.059
ATOMIC_POSITIONS angstrom
As 0.000 0.000 0.000
Mg 2.224 -4.935 7.178
Pb 1.188 -3.200 4.678
Mg 0.152 -1.464 2.178
```

## LaMnIn (meta-GGA SCAN)

Data for LaMnIn at its PBEsol-relaxed geometry. Values from VASP.

The calculation puts the volume at 22.77 Å³ per atom. The value obtained for the formation energy is -0.23 eV/atom. The space-group type is No. 107.

Cell and atoms, written as Quantum ESPRESSO input:
```
&SYSTEM
  ibrav = 0, nat = 3, ntyp = 3
/
ATOMIC_SPECIES
Mn 54.94 Mn.upf
La 138.91 La.upf
In 114.82 In.upf
CELL_PARAMETERS angstrom
3.360 0.051 0.000
-0.050 3.360 0.000
-1.655 -1.706 6.050
ATOMIC_POSITIONS angstrom
Mn 1.655 1.706 1.812
La 0.000 0.000 3.881
In 0.000 0.000 0.357
```

- The highest formation energy belongs to which entry?
  LiMg3